1.
DFT (PBE-GGA) results for a relaxed P2IrOs crystal.

abc: 5.240 5.240 10.494
angles: 90.00 90.00 90.00
Space group I-42d (No. 122)
Inequivalent atoms, fractional coordinates:
P1 0.247 0.250 0.125
Ir1 0.000 0.000 0.500
Os1 0.000 0.000 0.000

Summary:
Uncorrected energy ... -7.9633 eV per atom
E above lowest polymorph ... 0.068 eV/atom
Formation energy ... -0.236 eV per atom


2.
DFT (PBE-GGA) results for a relaxed PIrOs2 crystal.

abc: 3.945 3.945 7.194
angles: 90.00 90.00 90.00
Space group I4/mmm (No. 139)
Inequivalent atoms, fractional coordinates:
P1 0.000 0.000 0.000
Ir1 0.000 0.000 0.500
Os1 0.000 0.500 0.250

Summary:
Uncorrected energy ... -8.7563 eV per atom
Formation energy ... 0.426 eV per atom


3.
DFT (PBE-GGA) results for a relaxed P2IrOs crystal.

abc: 6.850 2.981 6.528
angles: 90.00 109.43 90.00
Space group Cm (No. 8)
Inequivalent atoms, fractional coordinates:
P1 0.000 0.000 0.000
P2 0.145 0.000 0.443
Ir1 0.410 0.500 0.625
Os1 0.381 0.000 0.215

Summary:
Uncorrected energy ... -7.7879 eV per atom
E above lowest polymorph ... 0.243 eV/atom
Formation energy ... -0.060 eV per atom


4.
DFT (PBE-GGA) results for a relaxed PIrOs2 crystal.

abc: 3.867 3.867 7.485
angles: 90.00 90.00 90.00
Space group I-4m2 (No. 119)
Inequivalent atoms, fractional coordinates:
P1 0.000 0.000 0.000
Ir1 0.000 0.500 0.750
Os1 0.000 0.000 0.500
Os2 0.000 0.500 0.250

Summary:
Uncorrected energy ... -8.7677 eV per atom
Formation energy ... 0.415 eV per atom


5.
DFT (PBE-GGA) results for a relaxed PIrOs crystal.

abc: 5.591 5.591 5.591
angles: 90.00 90.00 90.00
Space group F-43m (No. 216)
Inequivalent atoms, fractional coordinates:
P1 0.000 0.000 0.000
Ir1 0.250 0.250 0.250
Os1 0.250 0.250 0.750

Summary:
Uncorrected energy ... -8.6022 eV per atom
E above lowest polymorph ... 0.000 eV/atom
Formation energy ... -0.102 eV per atom


6.
DFT (PBE-GGA) results for a relaxed PIrOs crystal.

abc: 2.886 2.886 9.780
angles: 90.00 90.00 90.00
Space group I4mm (No. 107)
Inequivalent atoms, fractional coordinates:
P1 0.000 0.000 0.000
Ir1 0.000 0.000 0.345
Os1 0.000 0.000 0.634

Summary:
Uncorrected energy ... -8.4091 eV per atom
E above lowest polymorph ... 0.193 eV/atom
Formation energy ... 0.091 eV per atom


7.
DFT (PBE-GGA) results for a relaxed P2IrOs crystal.

abc: 6.675 2.964 6.913
angles: 90.00 108.81 90.00
Space group Cm (No. 8)
Inequivalent atoms, fractional coordinates:
P1 0.000 0.000 0.000
P2 0.121 0.000 0.348
Ir1 0.240 0.000 0.832
Os1 0.475 0.000 0.516

Summary:
Uncorrected energy ... -7.8262 eV per atom
E above lowest polymorph ... 0.205 eV/atom
Formation energy ... -0.099 eV per atom


8.
DFT (PBE-GGA) results for a relaxed PIrOs2 crystal.

abc: 2.773 4.893 8.496
angles: 90.00 90.00 90.00
Space group Cmmm (No. 65)
Inequivalent atoms, fractional coordinates:
P1 0.000 0.000 0.000
Ir1 0.000 0.000 0.500
Os1 0.000 0.500 0.221

Summary:
Uncorrected energy ... -8.6576 eV per atom
Formation energy ... 0.525 eV per atom